(1)
Below is a geometry-optimized PrGa2Pd10 structure, with properties calculated at the GGA-PBE level.

Unit cell a=5.3499 b=7.0078 c=6.8190 alpha=81.39 beta=66.90 gamma=67.56
Fractional coordinates of all 13 atoms:
Pd1 0.2757 0.2318 0.2168
Pd2 0.5000 0.0000 0.5000
Pd3 0.4925 0.2318 0.7832
Pd4 0.7243 0.7682 0.7832
Pd5 0.3430 0.6488 0.6653
Pd6 0.9918 0.3512 0.6653
Pd7 0.5075 0.7682 0.2168
Pd8 0.0082 0.6488 0.3347
Pd9 0.0000 0.0000 0.5000
Pd10 0.6570 0.3512 0.3347
Pr1 0.0000 0.0000 0.0000
Ga1 0.0000 0.5000 0.0000
Ga2 0.5000 0.5000 0.0000

calculated density = 10272 kg/m3
space group = Fmmm, No. 69
formation energy = -483 meV/atom
D(E_F) = 7.35 states/eV/f.u.
V = 16.72 Å³ per atom


(2)
Below is a geometry-optimized LiSm2ErS4 structure, with properties calculated at the GGA-PBE level.

Unit cell a=3.9260 b=6.7780 c=6.8070 alpha=109.39 beta=90.00 gamma=90.00
Fractional coordinates of all 8 atoms:
S1 0.0000 0.2556 0.7639
S2 0.5000 0.2485 0.2350
S3 0.0000 0.7444 0.2361
S4 0.5000 0.7515 0.7650
Sm1 0.5000 0.0000 0.5000
Sm2 0.0000 0.5000 0.5000
Er1 0.0000 0.0000 0.0000
Li1 0.5000 0.5000 0.0000

electronic total energy = -5.979 eV/atom
calculated density = 5862 kg/m3
space group = P2/m, No. 10
D(E_F) = 2.56 states/eV/f.u.
V = 21.36 Å³ per atom


(3)
Below is a geometry-optimized Nd4Te3Ru structure, with properties calculated at the GGA-PBE level.

Unit cell a=6.3524 b=9.2800 c=10.2622 alpha=90.00 beta=90.00 gamma=90.00
Fractional coordinates of all 16 atoms:
Nd1 0.0644 0.3115 0.2135
Nd2 0.5644 0.1630 0.0000
Nd3 0.0644 0.8802 0.0000
Nd4 0.5644 0.6885 0.7135
Nd5 0.5644 0.1198 0.5000
Nd6 0.0644 0.3115 0.7865
Nd7 0.5644 0.6885 0.2865
Nd8 0.0644 0.8370 0.5000
Ru1 0.0644 0.1600 0.0000
Ru2 0.5644 0.8400 0.5000
Te1 0.5644 0.8263 0.0000
Te2 0.0644 0.1737 0.5000
Te3 0.0644 0.6574 0.7609
Te4 0.5644 0.3426 0.2609
Te5 0.5644 0.3426 0.7391
Te6 0.0644 0.6574 0.2391

calculated density = 5824 kg/m3
space group = Pmmn, No. 59
D(E_F) = 6.52 states/eV/f.u.
distance to the lowest polymorph of the same formula = 247 meV per atom
V = 37.81 Å³ per atom